Here is RbV3O8 after structural relaxation from Alexandria. Energies are from GGA+U.

```
RbV3O8
1.0
5.129 0.000 0.000
0.000 8.693 0.000
-1.282 0.000 8.084
Rb V O
2 6 16
Direct
0.054 0.250 0.442
0.946 0.750 0.558
0.076 0.250 0.931
0.447 0.557 0.176
0.447 0.943 0.176
0.553 0.057 0.824
0.553 0.443 0.824
0.924 0.750 0.069
0.091 0.750 0.916
0.123 0.603 0.214
0.123 0.897 0.214
0.325 0.089 0.997
0.325 0.411 0.997
0.409 0.250 0.755
0.421 0.556 0.674
0.421 0.944 0.674
0.579 0.056 0.326
0.579 0.444 0.326
0.591 0.750 0.245
0.675 0.589 0.003
0.675 0.911 0.003
0.877 0.103 0.786
0.877 0.397 0.786
0.909 0.250 0.084
```

Computed properties:
The excess energy over the best structure of this formula in the dataset is 0 meV/atom. The calculation puts the total energy at -7.152 eV per atom. Its space-group type is P2_1/m, No. 11. As for the crystal system: monoclinic.